[1]
Ti2RePb2 | PBE | optimized geometry

crystal system = tetragonal
energy of formation from the pure elements = 0.4319 eV/atom
excess energy over the best structure of this formula in the dataset = 0 meV per atom
total DFT energy (no corrections) = -67.0 eV per cell

POSCAR file:
```
Ti2RePb2
1.0
-5.780 3.079 1.050
-2.821 -3.678 -4.744
-1.178 -3.330 3.282
Re Ti Pb
2 4 4
Direct
0.500 0.500 0.000 Re
0.000 0.000 0.000 Re
0.343 0.843 0.000 Ti
0.157 0.343 0.000 Ti
0.657 0.157 0.000 Ti
0.843 0.657 0.000 Ti
0.327 0.173 0.500 Pb
0.827 0.327 0.500 Pb
0.673 0.827 0.500 Pb
0.173 0.673 0.500 Pb
```

***

[2]
TiRePb2 | PBE | optimized geometry

crystal system = cubic
energy of formation from the pure elements = 0.6464 eV/atom
excess energy over the best structure of this formula in the dataset = 0 meV per atom
total DFT energy (no corrections) = -25.2 eV per cell

POSCAR file:
```
TiRePb2
1.0
0.000 3.410 3.410
3.410 0.000 3.410
3.410 3.410 0.000
Ti Pb Re
1 2 1
Direct
0.000 0.000 0.000 Ti
0.750 0.750 0.750 Pb
0.250 0.250 0.250 Pb
0.500 0.500 0.500 Re
```